Record 1
TbHoBr2NCl: optimized geometry, GGA-PBE.

Values from the calculation:
Relative energy among the computed polymorphs   11.8 meV per atom

Unit cell a=17.281 b=3.858 c=11.103 alpha=90.00 beta=123.53 gamma=90.00
Space group C2/m (No. 12)
One atom of each set of equivalent atoms:
Tb1 0.138 0.000 0.292 [4 per cell]
Ho1 0.079 0.500 0.958 [4 per cell]
Br1 0.043 0.000 0.739 [4 per cell]
Br2 0.224 0.000 0.122 [4 per cell]
N1 0.075 0.500 0.156 [4 per cell]
Cl1 0.170 0.500 0.508 [4 per cell]

***

Record 2
TbHoBr2NCl: optimized geometry, GGA-PBE.

Values from the calculation:
Relative energy among the computed polymorphs   22.9 meV per atom

Unit cell a=17.254 b=3.850 c=11.090 alpha=90.00 beta=123.73 gamma=90.00
Space group C2/m (No. 12)
One atom of each set of equivalent atoms:
Tb1 0.080 0.000 0.457 [4 per cell]
Ho1 0.138 0.500 0.792 [4 per cell]
Br1 0.041 0.500 0.235 [4 per cell]
Br2 0.227 0.500 0.626 [4 per cell]
N1 0.076 0.000 0.658 [4 per cell]
Cl1 0.171 0.000 0.008 [4 per cell]

***

Record 3
TbHoBr2NCl: optimized geometry, GGA-PBE.

Values from the calculation:
Relative energy among the computed polymorphs   0.0 meV per atom

Unit cell a=16.854 b=3.869 c=11.003 alpha=90.00 beta=121.59 gamma=90.00
Space group C2/m (No. 12)
One atom of each set of equivalent atoms:
Tb1 0.134 0.000 0.286 [4 per cell]
Ho1 0.082 0.500 0.959 [4 per cell]
Br1 0.052 0.000 0.744 [4 per cell]
Br2 0.162 0.500 0.519 [4 per cell]
N1 0.073 0.500 0.154 [4 per cell]
Cl1 0.212 0.000 0.110 [4 per cell]

***

Record 4
TbHoBr2NCl: optimized geometry, GGA-PBE.

Values from the calculation:
Relative energy among the computed polymorphs   11.8 meV per atom

Unit cell a=16.820 b=3.867 c=10.987 alpha=90.00 beta=121.73 gamma=90.00
Space group C2/m (No. 12)
One atom of each set of equivalent atoms:
Tb1 0.083 0.000 0.458 [4 per cell]
Ho1 0.134 0.500 0.786 [4 per cell]
Br1 0.050 0.500 0.240 [4 per cell]
Br2 0.164 0.000 0.018 [4 per cell]
N1 0.074 0.000 0.657 [4 per cell]
Cl1 0.214 0.500 0.613 [4 per cell]

***

Record 5
YHoBrNCl2: optimized geometry, GGA-PBE.

Values from the calculation:
Relative energy among the computed polymorphs   13.3 meV per atom

Unit cell a=17.739 b=3.821 c=11.209 alpha=90.00 beta=125.09 gamma=90.00
Space group C2/m (No. 12)
One atom of each set of equivalent atoms:
Y1 0.078 0.000 0.461 [4 per cell]
Ho1 0.138 0.500 0.793 [4 per cell]
Br1 0.040 0.500 0.238 [4 per cell]
N1 0.076 0.000 0.659 [4 per cell]
Cl1 0.174 0.000 0.012 [4 per cell]
Cl2 0.210 0.500 0.620 [4 per cell]

***

Record 6
YHoBrNCl2: optimized geometry, GGA-PBE.

Values from the calculation:
Relative energy among the computed polymorphs   0.0 meV per atom

Unit cell a=16.896 b=3.849 c=11.003 alpha=90.00 beta=122.14 gamma=90.00
Space group C2/m (No. 12)
One atom of each set of equivalent atoms:
Y1 0.135 0.000 0.286 [4 per cell]
Ho1 0.081 0.500 0.957 [4 per cell]
Br1 0.162 0.500 0.517 [4 per cell]
N1 0.075 0.500 0.154 [4 per cell]
Cl1 0.045 0.000 0.758 [4 per cell]
Cl2 0.212 0.000 0.108 [4 per cell]

***

Record 7
YHoBrNCl2: optimized geometry, GGA-PBE.

Values from the calculation:
Relative energy among the computed polymorphs   8.7 meV per atom

Unit cell a=17.311 b=3.837 c=11.158 alpha=90.00 beta=123.41 gamma=90.00
Space group C2/m (No. 12)
One atom of each set of equivalent atoms:
Y1 0.079 0.000 0.458 [4 per cell]
Ho1 0.136 0.500 0.786 [4 per cell]
Br1 0.164 0.000 0.016 [4 per cell]
N1 0.076 0.000 0.656 [4 per cell]
Cl1 0.039 0.500 0.255 [4 per cell]
Cl2 0.211 0.500 0.611 [4 per cell]

***

Record 8
Y2Ho2Br3NCl2: optimized geometry, GGA-PBE.

Values from the calculation:
Total energy   -5.600 eV/atom

Unit cell a=16.952 b=3.703 c=8.000 alpha=90.00 beta=103.63 gamma=90.00
Space group C2/m (No. 12)
One atom of each set of equivalent atoms:
Y1 0.142 0.000 0.073 [4 per cell]
Ho1 0.002 0.500 0.802 [4 per cell]
Br1 0.000 0.000 0.500 [2 per cell]
Br2 0.168 0.500 0.349 [4 per cell]
N1 0.000 0.000 0.000 [2 per cell]
Cl1 0.170 0.500 0.836 [4 per cell]